[1]
The following is a DFT calculation (GGA-PBEsol) of crystalline LiAl2Rh2 at its relaxed geometry.

a = 3.8755 Å, b = 3.8755 Å, c = 6.0989 Å
α = 108.53°, β = 108.53°, γ = 90.00°
Last column: nearest neighbours and their distance in Å.
Atoms (fractional coordinates):
Rh 0.3853 0.3853 0.7706  4 Al 2.43, 1 Rh 2.50
Rh 0.6147 0.6147 0.2294  4 Al 2.43, 1 Rh 2.50
Al 0.2500 0.7500 0.5000  4 Rh 2.43
Al 0.7500 0.2500 0.5000  4 Rh 2.43
Li 0.0000 0.0000 0.0000  8 Rh 3.01, 8 Al 3.34

Calculated values
- energy relative to the lowest polymorph listed for this composition (meV per atom) = 361.2
- calculated total energy (eV for the cell shown) = -28.36
- magnetization (μB/atom) = 0.00
- crystal system = tetragonal
- energy of formation from the pure elements (eV per atom) = -0.387
- SG = No. 139

[2]
The following is a DFT calculation (GGA-PBEsol) of crystalline Li2AlRh at its relaxed geometry.

a = 4.1977 Å, b = 4.1977 Å, c = 4.1977 Å
α = 60.00°, β = 60.00°, γ = 60.00°
Last column: nearest neighbours and their distance in Å.
Atoms (fractional coordinates):
Rh 0.5000 0.5000 0.5000  4 Li 2.57, 4 Al 2.57
Al 0.2500 0.2500 0.2500  4 Li 2.57, 4 Rh 2.57
Li 0.0000 0.0000 0.0000  4 Li 2.57, 4 Al 2.57
Li 0.7500 0.7500 0.7500  4 Li 2.57, 4 Rh 2.57

Calculated values
- calculated total energy (eV for the cell shown) = -17.94
- magnetization (μB/atom) = 0.00
- crystal system = cubic
- energy of formation from the pure elements (eV per atom) = -0.444
- SG = No. 216

[3]
The following is a DFT calculation (GGA-PBEsol) of crystalline Li2AlRh at its relaxed geometry.

a = 3.4981 Å, b = 3.4981 Å, c = 9.8550 Å
α = 100.22°, β = 100.22°, γ = 90.00°
Last column: nearest neighbours and their distance in Å.
Atoms (fractional coordinates):
Rh 0.2500 0.7500 0.5000  4 Al 2.47, 4 Li 2.67
Rh 0.0000 0.0000 0.0000  4 Al 2.47, 4 Li 2.67
Al 0.7500 0.2500 0.5000  4 Rh 2.47, 4 Li 2.70
Al 0.5000 0.5000 0.0000  4 Rh 2.47, 4 Li 2.70
Li 0.3613 0.8750 0.2500  4 Li 2.41-2.54, 2 Rh 2.67
Li 0.8887 0.3750 0.2500  4 Li 2.41-2.54, 2 Rh 2.67
Li 0.1250 0.1113 0.7500  4 Li 2.41-2.54, 2 Rh 2.67
Li 0.6250 0.6387 0.7500  4 Li 2.41-2.54, 2 Rh 2.67

Calculated values
- calculated total energy (eV for the cell shown) = -33.92
- magnetization (μB/atom) = 0.00
- crystal system = tetragonal
- energy of formation from the pure elements (eV per atom) = -0.199
- SG = No. 122

[4]
The following is a DFT calculation (GGA-PBEsol) of crystalline Li2AlRh at its relaxed geometry.

a = 2.6393 Å, b = 2.6393 Å, c = 8.2523 Å
α = 90.00°, β = 90.00°, γ = 90.00°
Last column: nearest neighbours and their distance in Å.
Atoms (fractional coordinates):
Rh 0.5000 0.5000 0.0000  4 Rh 2.64, 8 Li 2.65
Al 0.5000 0.5000 0.5000  4 Al 2.64, 8 Li 2.92
Li 0.0000 0.0000 0.7717  4 Li 2.64, 4 Rh 2.65, 4 Al 2.92
Li 0.0000 0.0000 0.2283  4 Li 2.64, 4 Rh 2.65, 4 Al 2.92

Calculated values
- calculated total energy (eV for the cell shown) = -16.22
- magnetization (μB/atom) = 0.00
- crystal system = tetragonal
- energy of formation from the pure elements (eV per atom) = -0.014
- SG = No. 123

[5]
The following is a DFT calculation (GGA-PBEsol) of crystalline LiAlSbRh2 at its relaxed geometry.

a = 4.2456 Å, b = 4.2456 Å, c = 4.2771 Å
α = 90.00°, β = 90.00°, γ = 90.00°
Last column: nearest neighbours and their distance in Å.
Atoms (fractional coordinates):
Sb 0.0000 0.0000 0.5000  2 Li 2.14
Rh 0.0000 0.5000 0.0000  2 Li 2.12
Rh 0.5000 0.0000 0.0000  2 Li 2.12
Al 0.5000 0.5000 0.5000  4 Sb 3.00, 8 Rh 3.01
Li 0.0000 0.0000 0.0000  4 Rh 2.12, 2 Sb 2.14

Calculated values
- calculated total energy (eV for the cell shown) = -24.84
- magnetization (μB/atom) = 0.00
- crystal system = tetragonal
- SG = No. 123

[6]
The following is a DFT calculation (GGA-PBEsol) of crystalline LiAlSnRh2 at its relaxed geometry.

a = 4.8602 Å, b = 4.8602 Å, c = 4.9958 Å
α = 90.00°, β = 90.00°, γ = 90.00°
Last column: nearest neighbours and their distance in Å.
Atoms (fractional coordinates):
Li 0.5000 0.5000 0.5000  4 Al 3.44, 8 Rh 3.48
Rh 0.0000 0.5000 0.0000  2 Sn 2.43
Rh 0.5000 0.0000 0.0000  2 Sn 2.43
Sn 0.0000 0.0000 0.0000  4 Rh 2.43, 2 Al 2.50
Al 0.0000 0.0000 0.5000  2 Sn 2.50

Calculated values
- calculated total energy (eV for the cell shown) = -22.25
- magnetization (μB/atom) = 0.00
- crystal system = tetragonal
- energy of formation from the pure elements (eV per atom) = 0.869
- SG = No. 123

[7]
The following is a DFT calculation (GGA-PBEsol) of crystalline Li2AlRu at its relaxed geometry.

a = 2.6951 Å, b = 2.6951 Å, c = 8.8912 Å
α = 90.00°, β = 90.00°, γ = 111.17°
Last column: nearest neighbours and their distance in Å.
Atoms (fractional coordinates):
Ru 0.0000 0.0000 0.4888  2 Al 2.46, 2 Li 2.58, 4 Ru 2.70
Al 0.5000 0.5000 0.2711  2 Ru 2.46, 4 Al 2.70, 2 Li 2.73
Li 0.0000 0.0000 0.0170  4 Li 2.70, 2 Al 2.73
Li 0.5000 0.5000 0.7230  2 Ru 2.58, 4 Li 2.70

Calculated values
- calculated total energy (eV for the cell shown) = -18.21
- magnetization (μB/atom) = 0.00
- crystal system = orthorhombic
- energy of formation from the pure elements (eV per atom) = -0.003
- SG = No. 35

[8]
The following is a DFT calculation (GGA-PBEsol) of crystalline LiAlRu3 at its relaxed geometry.

a = 4.0377 Å, b = 4.0377 Å, c = 4.0377 Å
α = 90.00°, β = 90.00°, γ = 90.00°
Last column: nearest neighbours and their distance in Å.
Atoms (fractional coordinates):
Ru 0.0000 0.5000 0.0000  2 Li 2.02
Ru 0.0000 0.0000 0.5000  2 Li 2.02
Ru 0.5000 0.0000 0.0000  2 Li 2.02
Al 0.5000 0.5000 0.5000  12 Ru 2.86
Li 0.0000 0.0000 0.0000  6 Ru 2.02

Calculated values
- calculated total energy (eV for the cell shown) = -32.06
- magnetization (μB/atom) = 0.22
- crystal system = cubic
- energy of formation from the pure elements (eV per atom) = 0.904
- SG = No. 221

What did the seventh record say?
The following is a DFT calculation (GGA-PBEsol) of crystalline Li2AlRu at its relaxed geometry.

a = 2.6951 Å, b = 2.6951 Å, c = 8.8912 Å
α = 90.00°, β = 90.00°, γ = 111.17°
Last column: nearest neighbours and their distance in Å.
Atoms (fractional coordinates):
Ru 0.0000 0.0000 0.4888  2 Al 2.46, 2 Li 2.58, 4 Ru 2.70
Al 0.5000 0.5000 0.2711  2 Ru 2.46, 4 Al 2.70, 2 Li 2.73
Li 0.0000 0.0000 0.0170  4 Li 2.70, 2 Al 2.73
Li 0.5000 0.5000 0.7230  2 Ru 2.58, 4 Li 2.70

Calculated values
- calculated total energy (eV for the cell shown) = -18.21
- magnetization (μB/atom) = 0.00
- crystal system = orthorhombic
- energy of formation from the pure elements (eV per atom) = -0.003
- SG = No. 35